A plane-wave DFT calculation with PBE-GGA was carried out for crystalline Gd2CdSn at its relaxed geometry.

Cell and atoms, written as POSCAR:
```
Gd2CdSn
1.0
4.264 0.000 0.000
0.000 5.018 0.000
0.000 0.000 5.018
Gd Sn Cd
2 1 1
Direct
0.000 0.000 0.500
0.000 0.500 0.000
0.500 0.500 0.500
0.500 0.000 0.000
```

## Properties
V: 107.35 Å³/f.u.
Fermi-level density of states: 0.5915 states/eV per atom
energy of formation from the pure elements: -12.8 kcal/mol of atoms

***

A plane-wave DFT calculation with PBE-GGA was carried out for crystalline HfNiRh3 at its relaxed geometry.

Cell and atoms, written as POSCAR:
```
HfNiRh3
1.0
-1.278 -1.367 -4.020
4.020 -1.742 -0.685
-1.368 -3.842 1.741
Rh Hf Ni
3 1 1
Direct
0.000 0.500 0.000
0.000 0.000 0.500
0.500 0.000 0.000
0.500 0.500 0.500
0.000 0.000 0.000
```

## Properties
ΔE to the lowest computed polymorph: 574 meV/atom
V: 87.19 Å³/f.u.
Fermi-level density of states: 1.8285 states/eV per atom
energy of formation from the pure elements: 11.1 kcal/mol of atoms

***

A plane-wave DFT calculation with PBE-GGA was carried out for crystalline Mg2HgCF at its relaxed geometry.

Cell and atoms, written as POSCAR:
```
Mg2HgCF
1.0
-2.034 4.009 -2.752
0.247 -2.179 -3.356
-4.852 -1.872 0.858
C Mg Hg F
1 2 1 1
Direct
0.000 0.500 0.000
0.000 0.000 0.500
0.500 0.000 0.000
0.000 0.000 0.000
0.500 0.500 0.500
```

## Properties
V: 111.40 Å³/f.u.
E_form (uncorrected): 0.547 eV/atom
Fermi-level density of states: 0.4400 states/eV per atom

***

A plane-wave DFT calculation with PBE-GGA was carried out for crystalline SrMgRu2 at its relaxed geometry.

Cell and atoms, written as POSCAR:
```
SrMgRu2
1.0
-2.894 2.819 2.112
1.360 -0.514 2.551
4.244 4.521 -0.218
Mg Ru Sr
1 2 1
Direct
0.500 0.750 0.750
0.000 0.959 0.923
0.000 0.541 0.577
0.500 0.250 0.250
```

## Properties
V: 81.99 Å³/f.u.
Fermi-level density of states: 1.3600 states/eV per atom
energy of formation from the pure elements: 11.2 kcal/mol of atoms

***

A plane-wave DFT calculation with PBE-GGA was carried out for crystalline TaSnSb2I at its relaxed geometry.

Cell and atoms, written as POSCAR:
```
TaSnSb2I
1.0
5.664 0.000 0.000
0.000 5.443 0.000
0.000 0.000 5.664
I Sb Sn Ta
1 2 1 1
Direct
0.500 0.500 0.500
0.000 0.000 0.500
0.500 0.000 0.000
0.000 0.000 0.000
0.000 0.500 0.000
```

## Properties
ΔE to the lowest computed polymorph: 803 meV/atom
V: 174.59 Å³/f.u.
E_form (uncorrected): 1.305 eV/atom
Fermi-level density of states: 1.2329 states/eV per atom

***

A plane-wave DFT calculation with PBE-GGA was carried out for crystalline PSI2O at its relaxed geometry.

Cell and atoms, written as POSCAR:
```
PSI2O
1.0
5.606 0.000 0.000
0.000 5.606 0.000
0.000 0.000 3.577
I P S O
2 1 1 1
Direct
0.000 0.500 0.000
0.500 0.000 0.000
0.500 0.500 0.500
0.000 0.000 0.000
0.000 0.000 0.500
```

## Properties
ΔE to the lowest computed polymorph: 377 meV/atom
V: 112.40 Å³/f.u.
E_form (uncorrected): 0.644 eV/atom
Fermi-level density of states: 0.5462 states/eV per atom

***

A plane-wave DFT calculation with PBE-GGA was carried out for crystalline PaCo2As2Rh at its relaxed geometry.

Cell and atoms, written as POSCAR:
```
PaCo2As2Rh
1.0
4.023 0.000 0.000
-2.011 3.484 0.000
0.000 0.000 6.621
Pa Co As Rh
1 2 2 1
Direct
0.000 0.000 0.000
0.667 0.333 0.270
0.333 0.667 0.730
0.667 0.333 0.707
0.333 0.667 0.293
0.000 0.000 0.500
```

## Properties
V: 92.79 Å³/f.u.
Fermi-level density of states: 0.5626 states/eV per atom
energy of formation from the pure elements: -12.8 kcal/mol of atoms

***

A plane-wave DFT calculation with PBE-GGA was carried out for crystalline ScSb2 at its relaxed geometry.

Cell and atoms, written as POSCAR:
```
ScSb2
1.0
5.063 0.000 0.000
0.000 5.063 0.000
0.000 0.000 3.307
Sb Sc
2 1
Direct
0.000 0.500 0.500
0.500 0.000 0.500
0.000 0.000 0.000
```

## Properties
V: 84.79 Å³/f.u.
E_form (uncorrected): -0.358 eV/atom
Fermi-level density of states: 0.8111 states/eV per atom